5
Lattice="3.4641 0.0000 0.0000 0.0000 3.4641 0.0000 0.0000 0.0000 5.6274" Properties=species:S:1:pos:R:3 comment="SiMoPO2 GGA+U relaxed" total_magnetization_mub_per_cell=2.88 crystal_system=tetragonal sg="No. 123" rho_kg_m3=4598 final_energy_ev_per_cell=-31.48 pbc="T T T"
Si 0.0000 0.0000 0.0000
Mo 1.7320 1.7320 2.8137
P 0.0000 0.0000 2.8137
O 0.0000 1.7320 0.0000
O 1.7320 0.0000 0.0000